Mn3CuO6, optimized geometry, DFT GGA+U; raw total energy = -137.29 eV for the cell shown
1.0
4.315 2.491 3.304
-4.315 2.491 3.304
0.000 -4.982 3.304
Mn Cu O
6 2 12
Cartesian
-2.964 -0.736 4.599 Mn
-0.844 -2.935 5.314 Mn
-2.120 2.199 5.314 Mn
2.120 -2.199 4.599 Mn
0.844 2.935 4.599 Mn
2.964 0.736 5.314 Mn
0.000 0.000 0.000 Cu
0.000 0.000 4.957 Cu
-2.775 -2.598 5.313 O
-3.638 1.104 4.600 O
-0.941 -1.474 3.917 O
0.862 -3.703 4.600 O
-0.806 1.552 3.917 O
-1.747 0.078 5.996 O
1.747 -0.078 3.917 O
0.806 -1.552 5.996 O
-0.862 3.703 5.313 O
0.941 1.474 5.996 O
3.638 -1.104 5.313 O
2.775 2.598 4.600 O